LiPuAgTe3 | PBE-GGA | optimized geometry

The structure in extended XYZ format:
```
12
Lattice="4.292 0.000 0.000 0.000 7.990 -0.555 0.000 -2.752 9.296" Properties=species:S:1:pos:R:3 pbc="T T T"
Li 1.073 5.063 1.211
Li 3.219 0.174 7.529
Pu 1.073 1.224 2.188
Pu 3.219 4.014 6.553
Ag 1.073 -0.702 5.396
Ag 3.219 5.940 3.345
Te 3.219 7.088 0.725
Te 1.073 -1.851 8.016
Te 1.073 4.193 4.146
Te 3.219 1.045 4.594
Te 3.219 3.086 1.113
Te 1.073 2.152 7.628
```

Values from the calculation:
Space group ... No. 11
Final energy ... -5.40 eV per atom
ΔE_f (raw) ... -0.65 eV/atom
Crystal system ... monoclinic